(1)
DFT (PBE) results for an optimized crystal structure of ErSn4.

## Properties
ρ	7.16	g/cm3
Fermi-level density of states	2.08	states/eV/f.u.
spin magnetization	0.0	Bohr magnetons per cell
E_form	-158	meV per atom

```
ErSn4
1.0
6.3361 0.0000 0.0000
0.0000 4.4871 0.0000
-2.8340 0.0000 10.4810
Er Sn
2 8
direct
0.0000 0.0000 0.0000
0.0000 0.5000 0.5000
0.1291 0.0250 0.7140
0.1291 0.4750 0.2140
0.4938 0.7461 0.5867
0.4938 0.7539 0.0867
0.5062 0.2461 0.9133
0.5062 0.2539 0.4133
0.8709 0.5250 0.7860
0.8709 0.9750 0.2860
```

***

(2)
DFT (PBE) results for an optimized crystal structure of CdIn2CuTe4.

## Properties
ρ	5.38	g/cm3
Fermi-level density of states	2.90	states/eV/f.u.
formation energy from raw total energies	-2.13	eV/f.u.
spin magnetization	0.0	Bohr magnetons per cell

```
CdIn2CuTe4
1.0
0.0000 4.6952 6.4138
4.6905 0.0000 6.4138
4.6905 4.6952 0.0000
Cd In Cu Te
1 2 1 4
direct
0.0000 0.0000 0.0000
0.2502 0.2502 0.2498
0.7502 0.7502 0.7498
0.5003 0.5003 0.4997
0.1533 0.6186 0.8467
0.3813 0.8470 0.1530
0.6186 0.1533 0.3814
0.8470 0.3813 0.6187
```

***

(3)
DFT (PBE) results for an optimized crystal structure of AlZnAu.

## Properties
ρ	9.67	g/cm3
Fermi-level density of states	1.04	states/eV/f.u.
spin magnetization	0.0	Bohr magnetons per cell
E_form	-99	meV per atom

```
AlZnAu
1.0
-1.4468 1.4468 5.9360
1.4468 -1.4468 5.9360
1.4468 1.4468 -5.9360
Al Zn Au
1 1 1
direct
0.0000 0.0000 0.0000
0.6700 0.6700 0.0000
0.3424 0.3424 0.0000
```

***

(4)
DFT (PBE) results for an optimized crystal structure of Na2SrAsO.

## Properties
ρ	3.43	g/cm3
Fermi-level density of states	3.45	states/eV/f.u.
formation energy from raw total energies	-5.66	eV/f.u.
spin magnetization	0.7	Bohr magnetons per cell

```
Na2SrAsO
1.0
4.6884 0.0000 0.0000
0.0000 4.6884 0.0000
0.0000 0.0000 4.9506
Na Sr As O
2 1 1 1
direct
0.0000 0.5000 0.0000
0.5000 0.0000 0.0000
0.0000 0.0000 0.5000
0.5000 0.5000 0.5000
0.0000 0.0000 0.0000
```

***

(5)
DFT (PBE) results for an optimized crystal structure of Mn4Pb.

## Properties
ρ	9.44	g/cm3
Fermi-level density of states	4.85	states/eV/f.u.
spin magnetization	1.7	Bohr magnetons per cell
E_form	439	meV per atom

```
Mn4Pb
1.0
-1.9549 1.9549 4.9131
1.9549 -1.9549 4.9131
1.9549 1.9549 -4.9131
Mn Pb
4 1
direct
0.1165 0.1165 0.0000
0.2500 0.7500 0.5000
0.7500 0.2500 0.5000
0.8835 0.8835 0.0000
0.5000 0.5000 0.0000
```

***

(6)
DFT (PBE) results for an optimized crystal structure of Cu4TcCl.

## Properties
ρ	7.54	g/cm3
Fermi-level density of states	4.23	states/eV/f.u.
formation energy from raw total energies	3.62	eV/f.u.
spin magnetization	2.7	Bohr magnetons per cell

```
Cu4TcCl
1.0
0.0000 3.4956 3.4956
3.4956 0.0000 3.4956
3.4956 3.4956 0.0000
Cu Tc Cl
4 1 1
direct
0.1246 0.1246 0.1246
0.1246 0.1246 0.6262
0.1246 0.6262 0.1246
0.6262 0.1246 0.1246
0.7500 0.7500 0.7500
0.5000 0.5000 0.5000
```

***

What is the ρ in the fourth record? 3.43 g/cm3